(1)
Below is a relaxed As3Pt crystal, with properties calculated at the GGA-PBE level.

a b c (Å): 3.718 3.718 18.864
angles (deg): 90.00 90.00 120.00
Element x y z (fractional)
As 0.000 0.000 0.000
As 0.000 0.000 0.245
As 0.000 0.000 0.755
As 0.333 0.667 0.421
As 0.333 0.667 0.667
As 0.333 0.667 0.912
As 0.667 0.333 0.088
As 0.667 0.333 0.333
As 0.667 0.333 0.579
Pt 0.000 0.000 0.500
Pt 0.333 0.667 0.167
Pt 0.667 0.333 0.833

Values from the calculation:
uncorrected energy	-5.08	eV/atom
SG	R-3m (166)
relative energy among the computed polymorphs	0	meV per atom


(2)
Below is a relaxed AsPt crystal, with properties calculated at the GGA-PBE level.

a b c (Å): 4.056 3.555 5.055
angles (deg): 90.00 103.64 90.00
Element x y z (fractional)
As 0.172 0.250 0.291
As 0.828 0.750 0.709
Pt 0.290 0.250 0.816
Pt 0.710 0.750 0.184

Values from the calculation:
uncorrected energy	-5.59	eV/atom
SG	P2_1/m (11)


(3)
Below is a relaxed As4Pt5 crystal, with properties calculated at the GGA-PBE level.

a b c (Å): 7.688 7.688 5.945
angles (deg): 90.00 90.00 120.00
Element x y z (fractional)
As 0.000 0.000 0.000
As 0.000 0.000 0.500
As 0.000 0.363 0.250
As 0.000 0.637 0.750
As 0.363 0.000 0.250
As 0.363 0.363 0.750
As 0.637 0.000 0.750
As 0.637 0.637 0.250
Pt 0.000 0.311 0.750
Pt 0.000 0.689 0.250
Pt 0.311 0.000 0.750
Pt 0.311 0.311 0.250
Pt 0.333 0.667 0.000
Pt 0.333 0.667 0.500
Pt 0.667 0.333 0.000
Pt 0.667 0.333 0.500
Pt 0.689 0.000 0.250
Pt 0.689 0.689 0.750

Values from the calculation:
uncorrected energy	-5.40	eV/atom
SG	P6_3/mcm (193)


(4)
Below is a relaxed AsPt crystal, with properties calculated at the GGA-PBE level.

a b c (Å): 6.481 6.481 6.481
angles (deg): 90.00 90.00 90.00
Element x y z (fractional)
As 0.125 0.125 0.125
As 0.125 0.625 0.625
As 0.375 0.375 0.875
As 0.375 0.875 0.375
As 0.625 0.125 0.625
As 0.625 0.625 0.125
As 0.875 0.375 0.375
As 0.875 0.875 0.875
Pt 0.125 0.125 0.625
Pt 0.125 0.625 0.125
Pt 0.375 0.375 0.375
Pt 0.375 0.875 0.875
Pt 0.625 0.125 0.125
Pt 0.625 0.625 0.625
Pt 0.875 0.375 0.875
Pt 0.875 0.875 0.375

Values from the calculation:
uncorrected energy	-5.10	eV/atom
SG	Fd-3m (227)


> Which of these has the lowest uncorrected energy?

number 2